No. 1
Compound: TbTm2Co9
Source: the Alexandria database
Functional: GGA-PBE
Structure: optimized geometry

Unit cell a=4.9664 b=4.9664 c=8.5479 alpha=73.11 beta=73.11 gamma=60.00
Last column: magnetic moment on the atom in μB.
Sites, in units of the cell vectors:
Tb (0.0000, 0.0000, 0.0000)  -0.31
Tm (0.8599, 0.8599, 0.4204)  -0.43
Tm (0.1401, 0.1401, 0.5796)  -0.43
Co (0.6648, 0.6648, 0.0055)  1.49
Co (0.3352, 0.3352, 0.9945)  1.49
Co (0.5000, 0.5000, 0.5000)  1.27
Co (0.4157, 0.4157, 0.2466)  1.32
Co (0.9221, 0.4157, 0.2466)  1.32
Co (0.4157, 0.9221, 0.2466)  1.32
Co (0.5843, 0.5843, 0.7534)  1.32
Co (0.5843, 0.0779, 0.7534)  1.32
Co (0.0779, 0.5843, 0.7534)  1.32

Results
- Raw total energy: -6.668 eV per atom
- Calculated volume: 14.3 Å³/atom

No. 2
Compound: Tb4UCo5
Source: the Alexandria database
Functional: GGA-PBE
Structure: optimized geometry

Unit cell a=4.8301 b=6.8259 c=6.8259 alpha=82.81 beta=69.28 gamma=69.28
Sites, in units of the cell vectors:
Tb (0.7728, 0.7114, 0.7113)
Tb (0.4841, 0.2887, 0.7114)
Tb (0.4842, 0.7113, 0.2886)
Tb (0.1955, 0.2886, 0.2887)
U (0.0808, 0.0000, 0.0000)
Co (0.1472, 0.6448, 0.0000)
Co (0.1472, 0.0000, 0.6448)
Co (0.7920, 0.0000, 0.3552)
Co (0.7920, 0.3552, 0.0000)
Co (0.5940, 0.0000, 0.0000)

Results
- Raw total energy: -6.633 eV per atom
- Calculated volume: 19.7 Å³/atom

No. 3
Compound: Tb2UCo
Source: the Alexandria database
Functional: GGA-PBE
Structure: optimized geometry

Unit cell a=3.2387 b=3.2387 c=10.5360 alpha=81.16 beta=81.16 gamma=60.00
Last column: magnetic moment on the atom in μB.
Sites, in units of the cell vectors:
Tb (0.1041, 0.1041, 0.6877)  -0.04
Tb (0.8959, 0.8959, 0.3123)  -0.04
U (0.0000, 0.0000, 0.0000)  1.94
Co (0.5000, 0.5000, 0.5000)  -0.46

Results
- Raw total energy: -6.430 eV per atom
- Calculated volume: 23.5 Å³/atom

No. 4
Compound: Tb3UCo8
Source: the Alexandria database
Functional: GGA-PBE
Structure: optimized geometry

Unit cell a=5.0498 b=5.0498 c=8.7132 alpha=73.16 beta=73.16 gamma=60.00
Last column: magnetic moment on the atom in μB.
Sites, in units of the cell vectors:
Tb (0.3745, 0.3745, 0.8766)  -0.30
Tb (0.0003, 0.0003, 0.9990)  -0.30
Tb (0.4994, 0.4994, 0.5017)  -0.31
U (0.8745, 0.8745, 0.3764)  -2.12
Co (0.9347, 0.4367, 0.1920)  1.01
Co (0.4424, 0.9375, 0.6826)  1.01
Co (0.4367, 0.4367, 0.1920)  1.01
Co (0.9375, 0.9375, 0.6826)  1.01
Co (0.1878, 0.1878, 0.4365)  1.01
Co (0.6879, 0.6879, 0.9362)  1.07
Co (0.4367, 0.9347, 0.1920)  1.01
Co (0.9375, 0.4424, 0.6826)  1.01

Results
- Raw total energy: -6.985 eV per atom
- Calculated volume: 15.1 Å³/atom

No. 5
Compound: TbUCo
Source: the Alexandria database
Functional: GGA-PBE
Structure: optimized geometry

Unit cell a=3.2881 b=5.0399 c=7.5563 alpha=89.96 beta=102.57 gamma=90.00
Sites, in units of the cell vectors:
U (0.7315, 0.2502, 0.4631)
U (0.2685, 0.7498, 0.5369)
Tb (0.5708, 0.7504, 0.1415)
Tb (0.4292, 0.2496, 0.8585)
Co (0.8878, 0.7486, 0.7756)
Co (0.1122, 0.2514, 0.2244)

Results
- Raw total energy: -7.728 eV per atom
- Calculated volume: 20.4 Å³/atom

No. 6
Compound: Tb2UCo3
Source: the Alexandria database
Functional: GGA-PBE
Structure: optimized geometry

Unit cell a=4.0104 b=5.1071 c=10.8870 alpha=90.00 beta=90.00 gamma=90.00
Sites, in units of the cell vectors:
Tb (0.5000, 0.8037, 0.2022)
Tb (0.0000, 0.6963, 0.7022)
Tb (0.0000, 0.3037, 0.2978)
Tb (0.5000, 0.1963, 0.7978)
U (0.0000, 0.5000, 0.0000)
U (0.5000, 0.0000, 0.5000)
Co (0.0000, 0.0000, 0.0000)
Co (0.5000, 0.5000, 0.5000)
Co (0.5000, 0.2897, 0.0773)
Co (0.5000, 0.7103, 0.9227)
Co (0.0000, 0.2103, 0.5773)
Co (0.0000, 0.7897, 0.4227)

Results
- Raw total energy: -7.196 eV per atom
- Calculated volume: 18.6 Å³/atom

Respective D(E_F) values: 16.229 5.914 6.346 17.237 10.040 11.037 states/eV per cell.
Respective calculated formation energy values: -0.207 -0.099 0.484 -0.150 -0.053 -0.218 eV/atom.